Ho5Tm4In after structural relaxation, computed with PBE.

Cell lengths 17.5304, 3.5600, 9.9375 Å; angles 90.00, 95.62, 90.00 degrees
Space group C2/m (No. 12)
Inequivalent atoms, fractional coordinates:
Ho (0.0000, 0.0000, 0.0000) [2 per cell]
Ho (0.1428, 0.5000, 0.7342) [4 per cell]
Ho (0.1903, 0.5000, 0.0970) [4 per cell]
Tm (0.0429, 0.5000, 0.2728) [4 per cell]
Tm (0.1844, 0.0000, 0.4084) [4 per cell]
In (0.0000, 0.0000, 0.5000) [2 per cell]

Calculated values
Its total magnetization is 0.0 μB per cell. The crystal system is monoclinic. The value obtained for the density of states at the Fermi level is 29.3 states/eV per cell. The formation energy is 0.076 eV per atom. For the total energy, the calculation gives -4.28 eV/atom.